Material: Sb2TeWC
Method: DFT, PBE
State: relaxed

Values from the calculation:
**Raw formation energy**: 1833 meV per atom

Cell: 5.270 5.270 5.197 Å, 90.00 90.00 90.00°
Space group P4/mmm (No. 123)
Unique sites:
Sb  0.000  0.500  0.000 [2 per cell]
Te  0.000  0.000  0.500 [1 per cell]
W  0.000  0.000  0.000 [1 per cell]
C  0.500  0.500  0.500 [1 per cell]

Material: DyZr3Rh4
Method: DFT, PBE
State: relaxed

Values from the calculation:
**Calculated formation energy**: -777 meV per atom

Cell: 4.7032 4.7032 23.1860 Å, 90.00 90.00 120.00°
Space group R-3m (No. 166, hexagonal axes)
Unique sites:
Dy  0.0000  0.0000  0.0000 [3 per cell]
Zr  0.0000  0.0000  0.2493 [6 per cell]
Zr  0.0000  0.0000  0.5000 [3 per cell]
Rh  0.0000  0.0000  0.1292 [6 per cell]
Rh  0.0000  0.0000  0.3803 [6 per cell]

Material: AcZnHgAu
Method: DFT, PBE
State: relaxed

Values from the calculation:
**Calculated formation energy**: -406 meV per atom

Cell: 7.408 7.408 7.408 Å, 90.00 90.00 90.00°
Space group F-43m (No. 216)
Unique sites:
Ac  0.000  0.000  0.000 [4 per cell]
Zn  0.000  0.000  0.500 [4 per cell]
Hg  0.250  0.250  0.250 [4 per cell]
Au  0.250  0.250  0.750 [4 per cell]

Material: Ti3Tc2Ge4
Method: DFT, PBE
State: relaxed

Values from the calculation:
**Calculated formation energy**: -426 meV per atom

Cell: 13.829 3.238 6.800 Å, 90.00 109.50 90.00°
Space group C2/m (No. 12)
Unique sites:
Ti  0.000  0.000  0.000 [2 per cell]
Ti  0.138  0.000  0.610 [4 per cell]
Tc  0.167  0.500  0.952 [4 per cell]
Ge  0.013  0.500  0.319 [4 per cell]
Ge  0.197  0.000  0.259 [4 per cell]

Material: La7Pm4Y
Method: DFT, PBE
State: relaxed

Values from the calculation:
**Calculated formation energy**: 17 meV per atom

Cell: 6.463 7.425 9.226 Å, 90.08 103.45 90.03°
Space group P-1 (No. 2)
Unique sites:
La  0.000  0.000  0.000 [1 per cell]
La  0.221  0.499  0.667 [2 per cell]
La  0.281  0.751  0.333 [2 per cell]
La  0.500  0.250  0.001 [2 per cell]
Pm  0.222  0.000  0.668 [2 per cell]
Pm  0.277  0.249  0.330 [2 per cell]
Y  0.000  0.500  0.000 [1 per cell]

Material: HgPtS2
Method: DFT, PBE
State: relaxed

Values from the calculation:
**Raw formation energy**: -257 meV per atom

Cell: 3.5736 3.5736 28.6135 Å, 90.00 90.00 120.00°
Space group R-3m (No. 166, hexagonal axes)
Unique sites:
Hg  0.0000  0.0000  0.0000 [3 per cell]
Pt  0.0000  0.0000  0.5000 [3 per cell]
S  0.0000  0.0000  0.1235 [6 per cell]